(1)
! Tm2Ga8Ag GGA-PBE relaxed; values from VASP
! ΔH_f (0 K) = -0.342 eV per atom
! E_tot = -3.6154 eV/atom
! total moment = 0.00 μB/f.u.
! D(E_F) = 0.32 states/eV/atom
&SYSTEM
  ibrav = 0, nat = 11, ntyp = 3
/
ATOMIC_SPECIES
Tm 168.93 Tm.upf
Ga 69.72 Ga.upf
Ag 107.87 Ag.upf
ATOMIC_POSITIONS crystal
Tm 0.000 0.000 0.185
Tm 0.000 0.000 0.815
Ga 0.000 0.500 0.000
Ga 0.000 0.500 0.363
Ga 0.000 0.500 0.637
Ga 0.500 0.000 0.000
Ga 0.500 0.000 0.363
Ga 0.500 0.000 0.637
Ga 0.500 0.500 0.188
Ga 0.500 0.500 0.812
Ag 0.000 0.000 0.500
CELL_PARAMETERS angstrom
4.336 0.000 0.000
0.000 4.336 0.000
0.000 0.000 11.330

---

(2)
! Tm3Ga7Ag2 GGA-PBE relaxed; values from VASP
! ΔH_f (0 K) = -0.401 eV per atom
! E_tot = -3.7601 eV/atom
! total moment = 0.00 μB/f.u.
! D(E_F) = 0.47 states/eV/atom
&SYSTEM
  ibrav = 0, nat = 12, ntyp = 3
/
ATOMIC_SPECIES
Tm 168.93 Tm.upf
Ga 69.72 Ga.upf
Ag 107.87 Ag.upf
ATOMIC_POSITIONS crystal
Tm 0.000 0.000 0.000
Tm 0.313 0.500 0.625
Tm 0.687 0.500 0.375
Ga 0.075 0.500 0.156
Ga 0.227 0.000 0.453
Ga 0.422 0.000 0.844
Ga 0.500 0.500 0.000
Ga 0.578 0.000 0.156
Ga 0.773 0.000 0.547
Ga 0.925 0.500 0.844
Ag 0.135 0.000 0.271
Ag 0.865 0.000 0.729
CELL_PARAMETERS angstrom
4.179 0.000 0.000
0.000 4.185 0.000
-2.089 0.000 13.664

---

(3)
! Tm3Ga4Ag2 GGA-PBE relaxed; values from VASP
! ΔH_f (0 K) = -0.531 eV per atom
! E_tot = -4.0006 eV/atom
! total moment = 0.00 μB/f.u.
! D(E_F) = 0.37 states/eV/atom
&SYSTEM
  ibrav = 0, nat = 9, ntyp = 3
/
ATOMIC_SPECIES
Tm 168.93 Tm.upf
Ga 69.72 Ga.upf
Ag 107.87 Ag.upf
ATOMIC_POSITIONS crystal
Tm 0.000 0.000 0.000
Tm 0.330 0.330 0.340
Tm 0.670 0.670 0.660
Ga 0.034 0.034 0.370
Ga 0.257 0.257 0.924
Ga 0.743 0.743 0.076
Ga 0.966 0.966 0.630
Ag 0.394 0.394 0.727
Ag 0.606 0.606 0.273
CELL_PARAMETERS angstrom
5.264 -2.265 0.000
5.264 2.265 0.000
-3.579 0.000 7.709